# 1
DyCd2Sn3: optimized geometry, PBE-GGA.

Formation energy from the elements in eV per formula unit: -1.46
Space-group type: No. 65
D(E_F) in states/eV per cell: 2.52

Cell lengths 4.449, 4.657, 7.720 Å; angles 107.56, 90.00, 90.00 degrees
Element x y z (fractional)
Dy 0.000 0.000 0.000
Cd 0.000 0.663 0.327
Cd 0.000 0.337 0.673
Sn 0.500 0.170 0.341
Sn 0.500 0.500 0.000
Sn 0.500 0.830 0.659


# 2
Pm3ZnCo: optimized geometry, PBE-GGA.

Formation energy from the elements in eV per formula unit: -0.68
Space-group type: No. 12
D(E_F) in states/eV per cell: 11.82

Cell lengths 6.081, 6.081, 8.653 Å; angles 67.58, 67.58, 63.49 degrees
Element x y z (fractional)
Pm 0.316 0.316 0.871
Pm 0.684 0.684 0.129
Pm 0.027 0.027 0.773
Pm 0.973 0.973 0.227
Pm 0.705 0.705 0.676
Pm 0.295 0.295 0.324
Zn 0.705 0.295 0.500
Zn 0.295 0.705 0.500
Co 0.314 0.686 0.000
Co 0.686 0.314 0.000


# 3
Al5HO8: optimized geometry, PBE-GGA.

Electronic total energy in eV per cell: -201.94
Space-group type: No. 186
D(E_F) in states/eV per cell: 0.00

Cell lengths 5.633, 5.633, 8.845 Å; angles 90.00, 90.00, 120.00 degrees
Element x y z (fractional)
Al 0.834 0.166 0.866
Al 0.834 0.669 0.866
Al 0.331 0.166 0.866
Al 0.166 0.834 0.366
Al 0.166 0.331 0.366
Al 0.669 0.834 0.366
Al 0.333 0.667 0.659
Al 0.667 0.333 0.159
Al 0.667 0.333 0.547
Al 0.333 0.667 0.047
H 0.000 0.000 0.596
H 0.000 0.000 0.096
O 0.000 0.000 0.485
O 0.000 0.000 0.985
O 0.485 0.515 0.501
O 0.485 0.971 0.501
O 0.029 0.515 0.501
O 0.515 0.485 0.001
O 0.515 0.029 0.001
O 0.971 0.485 0.001
O 0.668 0.834 0.763
O 0.166 0.834 0.763
O 0.166 0.332 0.763
O 0.332 0.166 0.263
O 0.834 0.166 0.263
O 0.834 0.668 0.263
O 0.667 0.333 0.754
O 0.333 0.667 0.254


# 4
BaMgSb2: optimized geometry, PBE-GGA.

Formation energy from raw total energies in meV/atom: -200
Space-group type: No. 216
D(E_F) in states/eV per cell: 4.37

Cell lengths 5.629, 5.629, 5.629 Å; angles 60.00, 60.00, 60.00 degrees
Element x y z (fractional)
Ba 0.500 0.500 0.500
Mg 0.750 0.750 0.750
Sb 0.000 0.000 0.000
Sb 0.250 0.250 0.250


# 5
UNb2W: optimized geometry, PBE-GGA.

Formation energy from the elements in eV per formula unit: 1.03
Space-group type: No. 123
D(E_F) in states/eV per cell: 6.80

Cell lengths 3.252, 4.776, 4.776 Å; angles 90.00, 90.00, 90.00 degrees
Last column: magnetic moment on the atom in μB.
Element x y z (fractional)
Nb 0.000 0.000 0.500  0.06
Nb 0.000 0.500 0.000  0.06
U 0.500 0.500 0.500  0.70
W 0.500 0.000 0.000  -0.03


# 6
K2BaTc: optimized geometry, PBE-GGA.

Formation energy from the elements in eV per formula unit: 4.65
Space-group type: No. 47
D(E_F) in states/eV per cell: 4.50

Cell lengths 3.855, 6.341, 6.916 Å; angles 90.00, 90.00, 90.00 degrees
Last column: magnetic moment on the atom in μB.
Element x y z (fractional)
Ba 0.500 0.500 0.750  -0.15
K 0.000 0.000 0.026  -0.01
K 0.000 0.000 0.474  -0.01
Tc 0.500 0.500 0.250  2.81


# 7
ReNiP: optimized geometry, PBE-GGA.

Formation energy from the elements in eV per formula unit: -0.32
Space-group type: No. 38
D(E_F) in states/eV per cell: 3.67

Cell lengths 3.089, 3.193, 8.055 Å; angles 90.00, 90.00, 90.00 degrees
Element x y z (fractional)
Re 0.000 0.000 0.454
Re 0.000 0.500 0.954
Ni 0.500 0.000 0.743
Ni 0.500 0.500 0.243
P 0.000 0.000 0.164
P 0.000 0.500 0.664


# 8
BaRh3Br: optimized geometry, PBE-GGA.

Formation energy from raw total energies in meV/atom: 1711
Space-group type: No. 221
D(E_F) in states/eV per cell: 11.22

Cell lengths 5.237, 5.237, 5.237 Å; angles 90.00, 90.00, 90.00 degrees
Last column: magnetic moment on the atom in μB.
Element x y z (fractional)
Rh 0.000 0.500 0.000  0.85
Rh 0.000 0.000 0.500  0.66
Rh 0.500 0.000 0.000  0.69
Ba 0.000 0.000 0.000  -0.05
Br 0.500 0.500 0.500  0.12


# 9
ZnTcRh2: optimized geometry, PBE-GGA.

Formation energy from the elements in eV per formula unit: -0.22
Space-group type: No. 119
D(E_F) in states/eV per cell: 4.29

Cell lengths 4.830, 4.830, 4.830 Å; angles 134.39, 134.39, 66.48 degrees
Element x y z (fractional)
Rh 0.000 0.000 0.000
Rh 0.250 0.750 0.500
Tc 0.500 0.500 0.000
Zn 0.750 0.250 0.500


# 10
Cu3AgP: optimized geometry, PBE-GGA.

Formation energy from the elements in eV per formula unit: 6.13
Space-group type: No. 221
D(E_F) in states/eV per cell: 2.70

Cell lengths 4.656, 4.656, 4.656 Å; angles 90.00, 90.00, 90.00 degrees
Element x y z (fractional)
P 0.500 0.500 0.500
Cu 0.000 0.500 0.000
Cu 0.000 0.000 0.500
Cu 0.500 0.000 0.000
Ag 0.000 0.000 0.000


# 11
Zn2Fe3: optimized geometry, PBE-GGA.

Formation energy from the elements in eV per formula unit: 0.54
Space-group type: No. 43
D(E_F) in states/eV per cell: 5.42

Cell lengths 7.603, 6.613, 4.986 Å; angles 80.59, 59.10, 40.31 degrees
Last column: magnetic moment on the atom in μB.
Element x y z (fractional)
Zn 0.360 0.541 0.208  -0.07
Zn 0.892 0.208 0.541  -0.07
Zn 0.709 0.890 0.358  -0.07
Zn 0.042 0.358 0.890  -0.07
Fe 0.339 0.462 0.749  2.40
Fe 0.451 0.749 0.462  2.40
Fe 0.788 0.911 0.799  2.40
Fe 0.501 0.799 0.911  2.40
Fe 0.959 0.041 0.041  2.46
Fe 0.209 0.291 0.291  2.46


# 12
Be3Os: optimized geometry, PBE-GGA.

Formation energy from the elements in eV per formula unit: 0.09
Space-group type: No. 166
D(E_F) in states/eV per cell: 1.57

Cell lengths 4.437, 4.437, 4.437 Å; angles 116.54, 116.54, 116.54 degrees
Element x y z (fractional)
Be 0.000 0.000 0.000
Be 0.500 0.000 0.500
Be 0.500 0.500 0.000
Os 0.000 0.500 0.500


# 13
TaGeSb2I: optimized geometry, PBE-GGA.

Formation energy from raw total energies in meV/atom: 1319
Space-group type: No. 123
D(E_F) in states/eV per cell: 5.53

Cell lengths 5.247, 5.247, 5.394 Å; angles 90.00, 90.00, 90.00 degrees
Last column: magnetic moment on the atom in μB.
Element x y z (fractional)
I 0.000 0.000 0.500  -0.09
Sb 0.000 0.500 0.000  -0.10
Sb 0.500 0.000 0.000  -0.10
Ge 0.000 0.000 0.000  0.00
Ta 0.500 0.500 0.500  1.67


# 14
BeRe2Mo: optimized geometry, PBE-GGA.

Formation energy from the elements in eV per formula unit: 0.45
Space-group type: No. 6
D(E_F) in states/eV per cell: 3.09

Cell lengths 4.232, 2.726, 5.024 Å; angles 77.09, 90.00, 90.00 degrees
Element x y z (fractional)
Re 0.000 0.981 0.021
Re 0.500 0.322 0.242
Mo 0.500 0.810 0.723
Be 0.000 0.387 0.513


# 15
Li2HgBr: optimized geometry, PBE-GGA.

Formation energy from raw total energies in meV/atom: -769
Space-group type: No. 10
D(E_F) in states/eV per cell: 0.92

Cell lengths 3.710, 3.722, 6.536 Å; angles 88.68, 90.00, 90.00 degrees
Element x y z (fractional)
Br 0.500 0.250 0.250
Hg 0.500 0.750 0.750
Li 0.000 0.241 0.979
Li 0.000 0.259 0.521


# 16
Er3BePb: optimized geometry, PBE-GGA.

Formation energy from the elements in eV per formula unit: -0.28
Space-group type: No. 221
D(E_F) in states/eV per cell: 4.85

Cell lengths 5.131, 5.131, 5.131 Å; angles 90.00, 90.00, 90.00 degrees
Element x y z (fractional)
Pb 0.500 0.500 0.500
Be 0.000 0.000 0.000
Er 0.000 0.500 0.000
Er 0.000 0.000 0.500
Er 0.500 0.000 0.000


# 17
Ag2TeC: optimized geometry, PBE-GGA.

Formation energy from raw total energies in meV/atom: 1462
Space-group type: No. 225
D(E_F) in states/eV per cell: 2.66

Cell lengths 4.707, 4.707, 4.707 Å; angles 60.00, 60.00, 60.00 degrees
Element x y z (fractional)
C 0.000 0.000 0.000
Te 0.500 0.500 0.500
Ag 0.250 0.250 0.250
Ag 0.750 0.750 0.750


# 18
K5Rb2Pb: optimized geometry, PBE-GGA.

Formation energy from the elements in eV per formula unit: 0.25
Space-group type: No. 8
D(E_F) in states/eV per cell: 6.06

Cell lengths 8.246, 8.246, 10.718 Å; angles 67.37, 67.37, 90.09 degrees
Element x y z (fractional)
K 0.740 0.740 0.034
K 0.740 0.225 0.035
K 0.225 0.740 0.035
K 0.225 0.225 0.035
K 0.302 0.302 0.396
Rb 0.191 0.690 0.619
Rb 0.690 0.191 0.619
Pb 0.110 0.110 0.781


# 19
TlAg2Pd4: optimized geometry, PBE-GGA.

Formation energy from the elements in eV per formula unit: 0.39
Space-group type: No. 139
D(E_F) in states/eV per cell: 3.52

Cell lengths 5.559, 5.559, 5.559 Å; angles 115.32, 106.63, 106.63 degrees
Element x y z (fractional)
Tl 0.000 0.000 0.000
Ag 0.500 0.500 0.000
Ag 0.500 0.000 0.500
Pd 0.500 0.000 0.000
Pd 0.500 0.500 0.500
Pd 0.000 0.000 0.500
Pd 0.000 0.500 0.000


# 20
ZrRe2Hg: optimized geometry, PBE-GGA.

Formation energy from the elements in eV per formula unit: 1.04
Space-group type: No. 160
D(E_F) in states/eV per cell: 3.43

Cell lengths 10.044, 10.044, 10.044 Å; angles 16.65, 16.65, 16.65 degrees
Element x y z (fractional)
Hg 0.746 0.746 0.746
Re 0.992 0.992 0.992
Re 0.258 0.258 0.258
Zr 0.504 0.504 0.504


# 21
NbWCl: optimized geometry, PBE-GGA.

Formation energy from raw total energies in meV/atom: -447
Space-group type: No. 1
D(E_F) in states/eV per cell: 2.08

Cell lengths 2.966, 3.296, 14.386 Å; angles 103.22, 98.63, 56.25 degrees
Element x y z (fractional)
W 0.589 0.550 0.140
W 0.613 0.190 0.293
Nb 0.619 0.845 0.451
Nb 0.543 0.914 0.982
Cl 0.945 0.311 0.581
Cl 0.828 0.142 0.852


# 22
BaHfBeAs3: optimized geometry, PBE-GGA.

Formation energy from the elements in eV per formula unit: -4.49
Space-group type: No. 11
D(E_F) in states/eV per cell: 2.99

Cell lengths 3.931, 8.906, 9.216 Å; angles 114.91, 90.00, 90.00 degrees
Element x y z (fractional)
Ba 0.250 0.220 0.243
Ba 0.750 0.780 0.757
Hf 0.250 0.677 0.145
Hf 0.750 0.323 0.855
Be 0.250 0.098 0.593
Be 0.750 0.902 0.407
As 0.750 0.890 0.151
As 0.250 0.110 0.849
As 0.250 0.800 0.473
As 0.750 0.200 0.527
As 0.750 0.478 0.176
As 0.250 0.522 0.824


# 23
NbTlNi2: optimized geometry, PBE-GGA.

Formation energy from the elements in eV per formula unit: 0.32
Space-group type: No. 225
D(E_F) in states/eV per cell: 2.35

Cell lengths 4.420, 4.420, 4.420 Å; angles 60.00, 60.00, 60.00 degrees
Element x y z (fractional)
Ni 0.250 0.250 0.250
Ni 0.750 0.750 0.750
Tl 0.500 0.500 0.500
Nb 0.000 0.000 0.000


# 24
Cs2ReMoCl6: optimized geometry, PBE-GGA.

Formation energy from raw total energies in meV/atom: -750
Space-group type: No. 225
D(E_F) in states/eV per cell: 5.82

Cell lengths 7.262, 7.262, 7.259 Å; angles 59.99, 59.99, 90.00 degrees
Last column: magnetic moment on the atom in μB.
Element x y z (fractional)
Cs 0.750 0.250 0.500  0.00
Cs 0.250 0.750 0.500  0.00
Re 0.000 0.000 0.000  2.03
Mo 0.500 0.500 0.000  3.25
Cl 0.243 0.243 0.514  0.04
Cl 0.757 0.757 0.486  0.04
Cl 0.243 0.243 0.000  0.04
Cl 0.757 0.757 0.000  0.04
Cl 0.757 0.243 0.000  0.04
Cl 0.243 0.757 0.000  0.04


# 25
ZrBeSb: optimized geometry, PBE-GGA.

Formation energy from raw total energies in meV/atom: -9
Space-group type: No. 44
D(E_F) in states/eV per cell: 2.45

Cell lengths 5.433, 5.433, 5.433 Å; angles 145.89, 141.31, 52.51 degrees
Element x y z (fractional)
Sb 0.354 0.354 0.000
Zr 0.657 0.657 0.000
Be 0.989 0.989 0.000


# 26
MnAlIn2: optimized geometry, PBE-GGA.

Formation energy from the elements in eV per formula unit: 0.94
Space-group type: No. 65
D(E_F) in states/eV per cell: 2.76

Cell lengths 5.181, 5.181, 3.160 Å; angles 90.00, 90.00, 110.13 degrees
Last column: magnetic moment on the atom in μB.
Element x y z (fractional)
Mn 0.500 0.000 0.500  3.60
Al 0.000 0.500 0.500  -0.01
In 0.000 0.000 0.000  -0.04
In 0.500 0.500 0.000  -0.04